Na3CoO2: relaxed, PBE+U.

The value obtained for the final energy is -103.09 eV per cell. Its mass density is 2.652 g cm⁻³.

The space group is P4_2/mnm (No. 136) and the conventional cell measures 9.334, 9.334 and 4.597 Å, with angles of 90.00, 90.00 and 90.00 degrees. The inequivalent atoms are Na at (0.025, 0.342, 0.000), Na at (0.143, 0.857, 0.500), Co at (0.176, 0.176, 0.500) and O at (0.038, 0.305, 0.500).

Na7Co2O6: relaxed, PBE+U.

The value obtained for the final energy is -273.09 eV per cell. Its mass density is 2.970 g cm⁻³.

The space group is C2/c (No. 15) and the conventional cell measures 14.387, 5.741 and 10.524 Å, with angles of 90.00, 105.37 and 90.00 degrees. The inequivalent atoms are Na at (0.000, 0.071, 0.250), Na at (0.059, 0.364, 0.650), Na at (0.167, 0.406, 0.405), Na at (0.226, 0.035, 0.807), Co at (0.124, 0.114, 0.039), O at (0.097, 0.230, 0.874), O at (0.120, 0.273, 0.188) and O at (0.174, 0.176, 0.583).

NaCoO2: relaxed, PBE+U.

The value obtained for the final energy is -42.42 eV per cell. Its mass density is 4.603 g cm⁻³.

The space group is P6_3/mmc (No. 194) and the conventional cell measures 2.9914, 2.9914 and 10.6056 Å, with angles of 90.00, 90.00 and 120.00 degrees. The inequivalent atoms are Na at (0.3333, 0.6667, 0.2500), Co at (0.0000, 0.0000, 0.0000) and O at (0.3333, 0.6667, 0.6005).

NaCoO2: relaxed, PBE+U.

The value obtained for the final energy is -63.20 eV per cell. Its mass density is 4.629 g cm⁻³.

The space group is R-3m (No. 166, hexagonal axes) and the conventional cell measures 2.9956, 2.9956 and 15.7749 Å, with angles of 90.00, 90.00 and 120.00 degrees. The inequivalent atoms are Na at (0.0000, 0.0000, 0.0000), Co at (0.0000, 0.0000, 0.5000) and O at (0.0000, 0.0000, 0.2344).

Na3CoO3: relaxed, PBE+U.

The value obtained for the final energy is -66.30 eV per cell. Its mass density is 3.096 g cm⁻³.

The space group is P-1 (No. 2) and the conventional cell measures 5.685, 5.850 and 6.318 Å, with angles of 64.32, 89.37 and 85.42 degrees. The inequivalent atoms are Na at (0.061, 0.269, 0.444), Na at (0.143, 0.265, 0.978), Na at (0.436, 0.758, 0.744), Co at (0.359, 0.693, 0.309), O at (0.245, 0.598, 0.096), O at (0.256, 0.973, 0.345) and O at (0.305, 0.422, 0.626).

NaCoO3: relaxed, PBE+U.

The value obtained for the final energy is -153.72 eV per cell. Its mass density is 4.001 g cm⁻³.

The space group is R-3 (No. 148, hexagonal axes) and the conventional cell measures 4.9307, 4.9307 and 15.3678 Å, with angles of 90.00, 90.00 and 120.00 degrees. The inequivalent atoms are Na at (0.0000, 0.0000, 0.1394), Co at (0.0000, 0.0000, 0.3356) and O at (0.0048, 0.4016, 0.9313).